No. 1
# Y2TaIr | the Alexandria database | PBE-GGA | optimized geometry
data_Y2TaIr
_chemical_formula_sum 'Y2 Ta1 Ir1'
_cell_length_a 3.2615
_cell_length_b 3.2615
_cell_length_c 8.8431
_cell_angle_alpha 90.00
_cell_angle_beta 90.00
_cell_angle_gamma 90.00
_space_group_name_H-M_alt 'P 4 m m'
_space_group_IT_number 99
_space_group_name_Hall 'P 4 -2'
loop_
_atom_site_label
_atom_site_fract_x
_atom_site_fract_y
_atom_site_fract_z
Y1 0.0000 0.0000 0.0000
Y2 0.5000 0.5000 0.3650
Ta1 0.5000 0.5000 0.7513
Ir1 0.0000 0.0000 0.5920
# Excess energy over the best structure of this formula in the dataset ... 0 meV/atom
# Formation energy from the elements ... -0.2420 eV/atom

***

No. 2
# NaAl2Ga2 | the Alexandria database | PBE-GGA | optimized geometry
data_NaAl2Ga2
_chemical_formula_sum 'Na2 Al4 Ga4'
_cell_length_a 8.0391
_cell_length_b 8.0391
_cell_length_c 3.0003
_cell_angle_alpha 90.00
_cell_angle_beta 90.00
_cell_angle_gamma 90.00
_space_group_name_H-M_alt 'P 4/m b m'
_space_group_IT_number 127
_space_group_name_Hall '-P 4 2ab'
loop_
_atom_site_label
_atom_site_fract_x
_atom_site_fract_y
_atom_site_fract_z
Na1 0.0000 0.0000 0.0000
Al1 0.1280 0.3720 0.0000
Ga1 0.1656 0.6656 0.5000
# Excess energy over the best structure of this formula in the dataset ... 113 meV/atom
# Formation energy from the elements ... -0.0005 eV/atom

***

No. 3
# HoTh2Co9 | the Alexandria database | PBE-GGA | optimized geometry
data_HoTh2Co9
_chemical_formula_sum 'Ho3 Th6 Co27'
_cell_length_a 4.9526
_cell_length_b 4.9526
_cell_length_c 25.1280
_cell_angle_alpha 90.00
_cell_angle_beta 90.00
_cell_angle_gamma 120.00
_space_group_name_H-M_alt 'R -3 m'
_space_group_IT_number 166
_space_group_name_Hall '-R 3 2"'
loop_
_atom_site_label
_atom_site_fract_x
_atom_site_fract_y
_atom_site_fract_z
Ho1 0.0000 0.0000 0.0000
Th1 0.0000 0.0000 0.1368
Co1 0.0000 0.0000 0.3328
Co2 0.0000 0.0000 0.5000
Co3 0.0021 0.5011 0.0787
# Formation energy from the elements ... -0.1787 eV/atom

***

No. 4
# Zr4CoIr | the Alexandria database | PBE-GGA | optimized geometry
data_Zr4CoIr
_chemical_formula_sum 'Zr8 Co2 Ir2'
_cell_length_a 6.3166
_cell_length_b 6.4051
_cell_length_c 6.3794
_cell_angle_alpha 90.00
_cell_angle_beta 92.15
_cell_angle_gamma 90.00
_space_group_name_H-M_alt 'P 1 21/c 1'
_space_group_IT_number 14
_space_group_name_Hall '-P 2ybc'
loop_
_atom_site_label
_atom_site_fract_x
_atom_site_fract_y
_atom_site_fract_z
Zr1 0.1664 0.1758 0.1840
Zr2 0.3201 0.6669 0.1543
Co1 0.0000 0.0000 0.5000
Ir1 0.5000 0.0000 0.0000
# Excess energy over the best structure of this formula in the dataset ... 228 meV/atom
# Formation energy from the elements ... -0.2250 eV/atom

***

No. 5
# TaTcIr2 | the Alexandria database | PBE-GGA | optimized geometry
data_TaTcIr2
_chemical_formula_sum 'Ta2 Tc2 Ir4'
_cell_length_a 9.2910
_cell_length_b 2.8130
_cell_length_c 4.7596
_cell_angle_alpha 90.00
_cell_angle_beta 100.11
_cell_angle_gamma 90.00
_space_group_name_H-M_alt 'C 1 2/m 1'
_space_group_IT_number 12
_space_group_name_Hall '-C 2y'
loop_
_atom_site_label
_atom_site_fract_x
_atom_site_fract_y
_atom_site_fract_z
Ta1 0.0000 0.0000 0.0000
Tc1 0.0000 0.5000 0.5000
Ir1 0.2478 0.0000 0.7419
# Excess energy over the best structure of this formula in the dataset ... 229 meV/atom
# Formation energy from the elements ... -0.2806 eV/atom

***

No. 6
# Zn2BiW | the Alexandria database | PBE-GGA | optimized geometry
data_Zn2BiW
_chemical_formula_sum 'Zn8 Bi4 W4'
_cell_length_a 7.7294
_cell_length_b 7.7294
_cell_length_c 5.5026
_cell_angle_alpha 90.00
_cell_angle_beta 90.00
_cell_angle_gamma 90.00
_space_group_name_H-M_alt 'I -4 2 d'
_space_group_IT_number 122
_space_group_name_Hall 'I -4 2bw'
loop_
_atom_site_label
_atom_site_fract_x
_atom_site_fract_y
_atom_site_fract_z
Zn1 0.2147 0.2500 0.1250
Bi1 0.0000 0.0000 0.5000
W1 0.0000 0.0000 0.0000
# Formation energy from the elements ... 0.9038 eV/atom

***

No. 7
# ReW2Cl | the Alexandria database | PBE-GGA | optimized geometry
data_ReW2Cl
_chemical_formula_sum 'Re1 W2 Cl1'
_cell_length_a 2.9412
_cell_length_b 2.9412
_cell_length_c 7.0824
_cell_angle_alpha 90.00
_cell_angle_beta 90.00
_cell_angle_gamma 90.00
_space_group_name_H-M_alt 'P 4/m m m'
_space_group_IT_number 123
_space_group_name_Hall '-P 4 2'
loop_
_atom_site_label
_atom_site_fract_x
_atom_site_fract_y
_atom_site_fract_z
Re1 0.0000 0.0000 0.0000
W1 0.5000 0.5000 0.2489
Cl1 0.0000 0.0000 0.5000
# Excess energy over the best structure of this formula in the dataset ... 81 meV/atom
# Formation energy from raw total energies ... 484.1 meV/atom

***

No. 8
# Ag3HgGe | the Alexandria database | PBE-GGA | optimized geometry
data_Ag3HgGe
_chemical_formula_sum 'Ag3 Hg1 Ge1'
_cell_length_a 4.9734
_cell_length_b 4.9734
_cell_length_c 4.9734
_cell_angle_alpha 90.00
_cell_angle_beta 90.00
_cell_angle_gamma 90.00
_space_group_name_H-M_alt 'P m -3 m'
_space_group_IT_number 221
_space_group_name_Hall '-P 4 2 3'
loop_
_atom_site_label
_atom_site_fract_x
_atom_site_fract_y
_atom_site_fract_z
Ag1 0.0000 0.0000 0.5000
Hg1 0.5000 0.5000 0.5000
Ge1 0.0000 0.0000 0.0000
# Excess energy over the best structure of this formula in the dataset ... 0 meV/atom
# Formation energy from the elements ... 0.3896 eV/atom

***

No. 9
# Cu2IrO | the Alexandria database | PBE-GGA | optimized geometry
data_Cu2IrO
_chemical_formula_sum 'Cu8 Ir4 O4'
_cell_length_a 6.5171
_cell_length_b 6.5171
_cell_length_c 4.4636
_cell_angle_alpha 90.00
_cell_angle_beta 90.00
_cell_angle_gamma 90.00
_space_group_name_H-M_alt 'I -4 2 d'
_space_group_IT_number 122
_space_group_name_Hall 'I -4 2bw'
loop_
_atom_site_label
_atom_site_fract_x
_atom_site_fract_y
_atom_site_fract_z
Cu1 0.1880 0.2500 0.1250
Ir1 0.0000 0.0000 0.5000
O1 0.0000 0.0000 0.0000
# Formation energy from raw total energies ... 329.3 meV/atom

***

Number 1: volume 94 Å³ per cell, DOS(E_F) 4.09 states/eV/cell. Number 2: volume 194 Å³ per cell, DOS(E_F) 2.68 states/eV/cell. Number 3: volume 534 Å³ per cell, DOS(E_F) 46.75 states/eV/cell. Number 4: volume 258 Å³ per cell, DOS(E_F) 16.07 states/eV/cell. Number 5: volume 122 Å³ per cell, DOS(E_F) 7.36 states/eV/cell. Number 6: volume 329 Å³ per cell, DOS(E_F) 13.40 states/eV/cell. Number 7: volume 61 Å³ per cell, DOS(E_F) 1.51 states/eV/cell. Number 8: volume 123 Å³ per cell, DOS(E_F) 3.25 states/eV/cell. Number 9: volume 190 Å³ per cell, DOS(E_F) 21.89 states/eV/cell.